# PBE+U HfMoIO2, optimized geometry
data_HfMoIO2
_chemical_formula_sum 'Hf1 Mo1 I1 O2'
_cell_length_a 4.1309
_cell_length_b 4.1309
_cell_length_c 6.0908
_cell_angle_alpha 90.00
_cell_angle_beta 90.00
_cell_angle_gamma 90.00
_symmetry_space_group_name_H-M 'P 4/m m m'
_symmetry_Int_Tables_number 123
_symmetry_space_group_name_Hall '-P 4 2'
loop_
_atom_site_label
_atom_site_type_symbol
_atom_site_fract_x
_atom_site_fract_y
_atom_site_fract_z
_atom_site_occupancy
Hf1 Hf 0.0000 0.0000 0.0000 1
Mo1 Mo 0.5000 0.5000 0.5000 1
I1 I 0.0000 0.0000 0.5000 1
O1 O 0.0000 0.5000 0.0000 1
# DOS(E_F) (states/eV per cell): 0.30
# Energy above the lowest structure with this stoichiometry (eV/atom): 0.0000

---

# PBE+U HfMoIO2, optimized geometry
data_HfMoIO2
_chemical_formula_sum 'Hf1 Mo1 I1 O2'
_cell_length_a 4.0797
_cell_length_b 4.0797
_cell_length_c 5.8794
_cell_angle_alpha 90.00
_cell_angle_beta 90.00
_cell_angle_gamma 90.00
_symmetry_space_group_name_H-M 'P 4/m m m'
_symmetry_Int_Tables_number 123
_symmetry_space_group_name_Hall '-P 4 2'
loop_
_atom_site_label
_atom_site_type_symbol
_atom_site_fract_x
_atom_site_fract_y
_atom_site_fract_z
_atom_site_occupancy
Hf1 Hf 0.0000 0.0000 0.0000 1
Mo1 Mo 0.5000 0.5000 0.5000 1
I1 I 0.5000 0.5000 0.0000 1
O1 O 0.0000 0.5000 0.5000 1
# DOS(E_F) (states/eV per cell): 4.51
# Energy above the lowest structure with this stoichiometry (eV/atom): 1.1071